1.
TePbAu2: relaxed, GGA-PBE.

## Properties
Total magnetization = 0.0 μB per formula unit
E = -3.28 eV per atom
Relative energy among the computed polymorphs = 123 meV per atom
Space group = P4mm
E_form (uncorrected) = 0.299 eV per formula unit

Cell lengths 3.5936, 3.5936, 7.5573 Å; angles 90.00, 90.00, 90.00 degrees
Fractional coordinates of all 4 atoms:
1 Au 0.0000 0.0000 0.0243
2 Au 0.5000 0.5000 0.2164
3 Te 0.5000 0.5000 0.8065
4 Pb 0.0000 0.0000 0.4529

---

2.
BaTa2Cu: relaxed, GGA-PBE.

## Properties
Total magnetization = 0.0 μB per formula unit
ΔH_f (0 K) = 3.8 eV/f.u.
E = -6.47 eV per atom
Relative energy among the computed polymorphs = 454 meV per atom
Space group = R-3m

Cell lengths 10.9306, 10.9306, 10.9306 Å; angles 15.98, 15.98, 15.98 degrees
Fractional coordinates of all 4 atoms:
1 Ta 0.4823 0.4823 0.4823
2 Cu 0.7500 0.7500 0.7500
3 Ta 0.0177 0.0177 0.0177
4 Ba 0.2500 0.2500 0.2500

---

3.
Nd12ErTm2: relaxed, GGA-PBE.

## Properties
Total magnetization = 0.0 μB per formula unit
ΔH_f (0 K) = 2.4 eV/f.u.
E = -4.55 eV per atom
Space group = Cmme

Cell lengths 6.8345, 6.8345, 24.9624 Å; angles 90.00, 90.00, 116.50 degrees
Fractional coordinates of all 30 atoms:
1 Nd 0.7489 0.2489 0.8696
2 Nd 0.7517 0.7483 0.9268
3 Nd 0.2312 0.7312 0.5866
4 Nd 0.5000 0.5000 0.6763
5 Nd 0.7483 0.7517 0.0732
6 Nd 0.7312 0.2312 0.4134
7 Er 0.5000 0.0000 0.9992
8 Tm 0.0000 0.5000 0.2697
9 Tm 0.5000 0.0000 0.2665
10 Nd 0.7688 0.2688 0.5866
11 Nd 0.5000 0.5000 0.8019
12 Nd 0.2511 0.7511 0.8696
13 Tm 0.0000 0.5000 0.7335
14 Nd 0.0000 0.0000 0.1981
15 Nd 0.7737 0.7263 0.4396
16 Nd 0.5000 0.5000 0.3237
17 Nd 0.2483 0.2517 0.9268
18 Nd 0.2517 0.2483 0.0732
19 Nd 0.0000 0.0000 0.3237
20 Nd 0.2737 0.2263 0.5604
21 Tm 0.5000 0.0000 0.7303
22 Nd 0.0000 0.0000 0.6763
23 Nd 0.0000 0.0000 0.8019
24 Nd 0.2489 0.7489 0.1304
25 Nd 0.7263 0.7737 0.5604
26 Nd 0.2263 0.2737 0.4396
27 Nd 0.5000 0.5000 0.1981
28 Nd 0.7511 0.2511 0.1304
29 Nd 0.2688 0.7688 0.4134
30 Er 0.0000 0.5000 0.0008

---

4.
BaCePdS3: relaxed, GGA-PBE.

## Properties
Total magnetization = 0.4 μB per formula unit
E = -5.87 eV per atom
Space group = P2_1/m
E_form (uncorrected) = -9.774 eV per formula unit

Cell lengths 4.1143, 8.5968, 9.0778 Å; angles 105.38, 90.00, 90.00 degrees
Site moments in Bohr magnetons follow the coordinates.
Fractional coordinates of all 12 atoms:
1 Ce 0.2500 0.6810 0.1709  0.44
2 Pd 0.7500 0.8998 0.4193  -0.04
3 Ce 0.7500 0.3190 0.8291  0.44
4 S 0.2500 0.1118 0.8658  -0.01
5 S 0.7500 0.4451 0.1538  -0.01
6 S 0.2500 0.5549 0.8462  -0.01
7 S 0.2500 0.7758 0.4779  -0.02
8 Ba 0.7500 0.8075 0.7598  0.00
9 Pd 0.2500 0.1002 0.5807  -0.04
10 Ba 0.2500 0.1925 0.2402  0.00
11 S 0.7500 0.8882 0.1342  -0.01
12 S 0.7500 0.2242 0.5221  -0.02

---

5.
BaSb3: relaxed, GGA-PBE.

## Properties
Total magnetization = 0.0 μB per formula unit
E = -3.89 eV per atom
Space group = I4/mmm
E_form (uncorrected) = -1.290 eV per formula unit

Cell lengths 6.4615, 6.4615, 6.4615 Å; angles 136.25, 136.25, 63.59 degrees
Fractional coordinates of all 4 atoms:
1 Sb 0.2500 0.7500 0.5000
2 Ba 0.0000 0.0000 0.0000
3 Sb 0.5000 0.5000 0.0000
4 Sb 0.7500 0.2500 0.5000

---

6.
Sr3Se2O: relaxed, GGA-PBE.

## Properties
Total magnetization = 0.0 μB per formula unit
E = -4.99 eV per atom
Relative energy among the computed polymorphs = 49 meV per atom
Space group = C2/c
E_form (uncorrected) = -12.947 eV per formula unit

Cell lengths 6.2641, 8.2100, 7.3595 Å; angles 106.20, 115.19, 90.00 degrees
Fractional coordinates of all 12 atoms:
1 Se 0.6712 0.0860 0.3446
2 Sr 0.8571 0.4286 0.7148
3 O 0.0502 0.2500 0.0000
4 Se 0.3288 0.9140 0.6554
5 Sr 0.8577 0.9286 0.7148
6 Se 0.3266 0.4140 0.6554
7 Sr 0.1429 0.5714 0.2852
8 Sr 0.5629 0.7500 0.0000
9 Sr 0.4371 0.2500 0.0000
10 Se 0.6734 0.5860 0.3446
11 Sr 0.1423 0.0714 0.2852
12 O 0.9498 0.7500 0.0000

---

7.
Sc2NiRu: relaxed, GGA-PBE.

## Properties
Total magnetization = 0.0 μB per formula unit
ΔH_f (0 K) = -0.5 eV/f.u.
E = -7.06 eV per atom
Space group = F-43m

Cell lengths 6.3558, 6.3558, 6.3558 Å; angles 90.00, 90.00, 90.00 degrees
Fractional coordinates of all 16 atoms:
1 Ni 0.5000 0.5000 0.5000
2 Sc 0.0000 0.0000 0.0000
3 Sc 0.0000 0.5000 0.5000
4 Sc 0.5000 0.5000 0.0000
5 Sc 0.2500 0.7500 0.2500
6 Sc 0.5000 0.0000 0.5000
7 Sc 0.7500 0.7500 0.7500
8 Ni 0.0000 0.5000 0.0000
9 Ni 0.5000 0.0000 0.0000
10 Ru 0.7500 0.2500 0.7500
11 Ru 0.2500 0.7500 0.7500
12 Sc 0.2500 0.2500 0.7500
13 Ni 0.0000 0.0000 0.5000
14 Ru 0.7500 0.7500 0.2500
15 Sc 0.7500 0.2500 0.2500
16 Ru 0.2500 0.2500 0.2500

---

8.
Y2MnIn: relaxed, GGA-PBE.

## Properties
Total magnetization = 2.7 μB per formula unit
ΔH_f (0 K) = -0.5 eV/f.u.
E = -6.34 eV per atom
Space group = Pm

Cell lengths 4.7505, 3.6552, 6.1615 Å; angles 72.86, 90.00, 90.00 degrees
Site moments in Bohr magnetons follow the coordinates.
Fractional coordinates of all 4 atoms:
1 Y 0.5000 0.2805 0.3123  -0.23
2 Y 0.0000 0.9720 0.9326  -0.27
3 In 0.0000 0.6920 0.4898  -0.04
4 Mn 0.5000 0.5555 0.7653  3.56

---

9.
Na2ZnSn3Pt4: relaxed, GGA-PBE.

## Properties
Total magnetization = 0.0 μB per formula unit
ΔH_f (0 K) = -4.6 eV/f.u.
E = -4.47 eV per atom
Space group = P-4m2

Cell lengths 4.1898, 4.1898, 12.0123 Å; angles 90.00, 90.00, 90.00 degrees
Fractional coordinates of all 10 atoms:
1 Na 0.5000 0.0000 0.2683
2 Sn 0.0000 0.5000 0.1424
3 Zn 0.5000 0.5000 0.5000
4 Sn 0.5000 0.0000 0.8576
5 Pt 0.5000 0.5000 0.0000
6 Na 0.0000 0.5000 0.7317
7 Pt 0.0000 0.5000 0.3623
8 Sn 0.0000 0.0000 0.5000
9 Pt 0.5000 0.0000 0.6377
10 Pt 0.0000 0.0000 0.0000

---

10.
Pm3Nd8Tm3: relaxed, GGA-PBE.

## Properties
Total magnetization = 0.0 μB per formula unit
ΔH_f (0 K) = 1.6 eV/f.u.
E = -4.58 eV per atom
Relative energy among the computed polymorphs = 18 meV per atom
Space group = Immm

Cell lengths 5.6965, 9.8453, 9.8453 Å; angles 102.58, 73.18, 73.18 degrees
Fractional coordinates of all 14 atoms:
1 Nd 0.8370 0.7671 0.5589
2 Pm 0.8078 0.1922 0.1922
3 Tm 0.0000 0.1831 0.8169
4 Nd 0.3430 0.4314 0.8827
5 Nd 0.1630 0.4411 0.2329
6 Tm 0.5000 0.0000 0.0000
7 Nd 0.1630 0.2329 0.4411
8 Pm 0.1922 0.8078 0.8078
9 Nd 0.6570 0.1173 0.5686
10 Nd 0.8370 0.5589 0.7671
11 Nd 0.6570 0.5686 0.1173
12 Pm 0.5000 0.5000 0.5000
13 Nd 0.3430 0.8827 0.4314
14 Tm 0.0000 0.8169 0.1831

---

11.
KS2F: relaxed, GGA-PBE.

## Properties
Total magnetization = 0.0 μB per formula unit
E = -2.53 eV per atom
Relative energy among the computed polymorphs = 1350 meV per atom
Space group = Fm-3m
E_form (uncorrected) = 1.101 eV per formula unit

Cell lengths 4.8762, 4.8762, 4.8762 Å; angles 60.00, 60.00, 60.00 degrees
Fractional coordinates of all 4 atoms:
1 F 0.0000 0.0000 0.0000
2 S 0.2500 0.2500 0.2500
3 S 0.7500 0.7500 0.7500
4 K 0.5000 0.5000 0.5000

---

12.
La3Al2Zn3: relaxed, GGA-PBE.

## Properties
Total magnetization = 0.0 μB per formula unit
ΔH_f (0 K) = -2.9 eV/f.u.
E = -3.63 eV per atom
Space group = Pnma

Cell lengths 6.0675, 8.4908, 15.2452 Å; angles 90.00, 90.00, 90.00 degrees
Fractional coordinates of all 32 atoms:
1 Zn 0.3829 0.6865 0.5378
2 La 0.6273 0.0486 0.6066
3 Al 0.3795 0.3992 0.9000
4 Al 0.8795 0.1008 0.1000
5 Zn 0.1171 0.1865 0.5378
6 Al 0.3795 0.3992 0.6000
7 La 0.3960 0.6927 0.7500
8 Zn 0.1171 0.1865 0.9622
9 Zn 0.6171 0.3135 0.4622
10 La 0.1273 0.4514 0.3934
11 Zn 0.8829 0.8135 0.0378
12 Zn 0.5972 0.3377 0.7500
13 Al 0.6205 0.6008 0.4000
14 Zn 0.6171 0.3135 0.0378
15 La 0.8727 0.5486 0.8934
16 Al 0.1205 0.8992 0.6000
17 Al 0.1205 0.8992 0.9000
18 La 0.6040 0.3073 0.2500
19 La 0.3727 0.9514 0.3934
20 Zn 0.8829 0.8135 0.4622
21 La 0.6273 0.0486 0.8934
22 Al 0.6205 0.6008 0.1000
23 Zn 0.3829 0.6865 0.9622
24 La 0.8727 0.5486 0.6066
25 Zn 0.0972 0.1623 0.2500
26 La 0.8960 0.8073 0.2500
27 La 0.1273 0.4514 0.1066
28 La 0.3727 0.9514 0.1066
29 Zn 0.4028 0.6623 0.2500
30 La 0.1040 0.1927 0.7500
31 Zn 0.9028 0.8377 0.7500
32 Al 0.8795 0.1008 0.4000

---

13.
Zn2CrIr: relaxed, GGA-PBE.

## Properties
Total magnetization = 2.7 μB per formula unit
ΔH_f (0 K) = 0.0 eV/f.u.
E = -5.27 eV per atom
Relative energy among the computed polymorphs = 85 meV per atom
Space group = I-4m2

Cell lengths 4.6250, 4.6250, 4.6250 Å; angles 130.41, 130.41, 72.75 degrees
Site moments in Bohr magnetons follow the coordinates.
Fractional coordinates of all 4 atoms:
1 Cr 0.5000 0.5000 0.0000  2.58
2 Zn 0.0000 0.0000 0.0000  -0.01
3 Zn 0.2500 0.7500 0.5000  0.00
4 Ir 0.7500 0.2500 0.5000  0.00

---

14.
MgNiRu: relaxed, GGA-PBE.

## Properties
Total magnetization = 0.2 μB per formula unit
ΔH_f (0 K) = 0.1 eV/f.u.
E = -5.52 eV per atom
Relative energy among the computed polymorphs = 76 meV per atom
Space group = C2

Cell lengths 4.7039, 8.0199, 4.7155 Å; angles 90.00, 111.28, 90.00 degrees
Site moments in Bohr magnetons follow the coordinates.
Fractional coordinates of all 12 atoms:
1 Mg 0.5000 0.1730 0.5000  0.00
2 Ni 0.5000 0.8380 0.5000  0.02
3 Ni 0.5000 0.3380 0.0000  0.02
4 Ru 0.0000 0.2037 0.0000  0.20
5 Mg 0.5000 0.6730 0.0000  0.00
6 Mg 0.5000 0.5110 0.5000  0.00
7 Mg 0.5000 0.0110 0.0000  0.00
8 Ru 0.0000 0.3630 0.5000  0.23
9 Ru 0.0000 0.7037 0.5000  0.20
10 Ru 0.0000 0.8630 0.0000  0.23
11 Ni 0.0000 0.0197 0.5000  0.02
12 Ni 0.0000 0.5197 0.0000  0.02

---

15.
Tl2SbBr: relaxed, GGA-PBE.

## Properties
Total magnetization = 0.0 μB per formula unit
E = -2.79 eV per atom
Relative energy among the computed polymorphs = 116 meV per atom
Space group = Imm2
E_form (uncorrected) = -0.616 eV per formula unit

Cell lengths 7.2201, 7.2201, 7.2201 Å; angles 151.34, 134.52, 54.65 degrees
Fractional coordinates of all 4 atoms:
1 Tl 0.7394 0.2394 0.5000
2 Sb 0.2362 0.7362 0.5000
3 Tl 0.0010 0.0010 0.0000
4 Br 0.5234 0.5234 0.0000

---

16.
Li2CrGa2: relaxed, GGA-PBE.

## Properties
Total magnetization = 0.0 μB per formula unit
ΔH_f (0 K) = 0.8 eV/f.u.
E = -3.75 eV per atom
Space group = P4/mbm

Cell lengths 7.1100, 7.1100, 2.7194 Å; angles 90.00, 90.00, 90.00 degrees
Fractional coordinates of all 10 atoms:
1 Ga 0.8404 0.6596 0.0000
2 Li 0.8584 0.3584 0.5000
3 Ga 0.6596 0.1596 0.0000
4 Li 0.6416 0.8584 0.5000
5 Li 0.1416 0.6416 0.5000
6 Ga 0.3404 0.8404 0.0000
7 Li 0.3584 0.1416 0.5000
8 Ga 0.1596 0.3404 0.0000
9 Cr 0.5000 0.5000 0.0000
10 Cr 0.0000 0.0000 0.0000

---

17.
LaPmPr: relaxed, GGA-PBE.

## Properties
Total magnetization = 0.0 μB per formula unit
ΔH_f (0 K) = 0.0 eV/f.u.
E = -4.80 eV per atom
Relative energy among the computed polymorphs = 4 meV per atom
Space group = Cmcm

Cell lengths 5.2453, 5.2178, 8.2963 Å; angles 108.33, 90.00, 90.00 degrees
Fractional coordinates of all 6 atoms:
1 Pm 0.2500 0.5840 0.6680
2 Pm 0.7500 0.4160 0.3320
3 Pr 0.2500 0.2487 0.9974
4 La 0.7500 0.0822 0.6644
5 La 0.2500 0.9178 0.3356
6 Pr 0.7500 0.7513 0.0026

---

18.
CeBe2Pd3: relaxed, GGA-PBE.

## Properties
Total magnetization = 0.8 μB per formula unit
ΔH_f (0 K) = -3.8 eV/f.u.
E = -5.46 eV per atom
Space group = P6/mmm

Cell lengths 3.4962, 5.5261, 5.5261 Å; angles 120.00, 90.00, 90.00 degrees
Site moments in Bohr magnetons follow the coordinates.
Fractional coordinates of all 6 atoms:
1 Be 0.0000 0.6667 0.3333  -0.01
2 Ce 0.0000 0.0000 0.0000  0.73
3 Pd 0.5000 0.0000 0.5000  -0.01
4 Pd 0.5000 0.5000 0.0000  -0.01
5 Pd 0.5000 0.5000 0.5000  -0.01
6 Be 0.0000 0.3333 0.6667  -0.01

---

19.
Ca2TbZn3: relaxed, GGA-PBE.

## Properties
Total magnetization = 0.0 μB per formula unit
ΔH_f (0 K) = -1.6 eV/f.u.
E = -2.35 eV per atom
Relative energy among the computed polymorphs = 4 meV per atom
Space group = P4/mmm

Cell lengths 3.6432, 3.6432, 10.9544 Å; angles 90.00, 90.00, 90.00 degrees
Fractional coordinates of all 6 atoms:
1 Tb 0.5000 0.5000 0.5000
2 Ca 0.5000 0.5000 0.8308
3 Ca 0.5000 0.5000 0.1692
4 Zn 0.0000 0.0000 0.0000
5 Zn 0.0000 0.0000 0.6549
6 Zn 0.0000 0.0000 0.3451

---

20.
Rb3La2BiS6: relaxed, GGA-PBE.

## Properties
Total magnetization = 0.0 μB per formula unit
E = -4.98 eV per atom
Space group = C2/m
E_form (uncorrected) = -18.330 eV per formula unit

Cell lengths 7.4103, 7.4103, 8.0881 Å; angles 98.78, 98.78, 120.00 degrees
Fractional coordinates of all 12 atoms:
1 S 0.2641 0.2641 0.8015
2 S 0.3965 0.0663 0.1988
3 S 0.6035 0.9337 0.8012
4 La 0.3332 0.6668 0.0000
5 S 0.7359 0.7359 0.1985
6 S 0.0663 0.3965 0.1988
7 Rb 0.5000 0.5000 0.5000
8 Rb 0.1654 0.8346 0.5000
9 La 0.6668 0.3332 0.0000
10 Bi 0.0000 0.0000 0.0000
11 S 0.9337 0.6035 0.8012
12 Rb 0.8346 0.1654 0.5000

---

21.
CaMo2Pt: relaxed, GGA-PBE.

## Properties
Total magnetization = 0.0 μB per formula unit
ΔH_f (0 K) = 0.2 eV/f.u.
E = -7.38 eV per atom
Relative energy among the computed polymorphs = 0 meV per atom
Space group = Pm

Cell lengths 3.3074, 3.2664, 7.6736 Å; angles 66.82, 90.00, 90.00 degrees
Fractional coordinates of all 4 atoms:
1 Mo 0.5000 0.2143 0.2361
2 Mo 0.0000 0.9740 0.0559
3 Pt 0.0000 0.5307 0.4712
4 Ca 0.5000 0.7810 0.7368

---

22.
Mg8In3Sb2: relaxed, GGA-PBE.

## Properties
Total magnetization = 0.0 μB per formula unit
E = -2.36 eV per atom
Space group = Cmmm
E_form (uncorrected) = -1.498 eV per formula unit

Cell lengths 4.6255, 9.0400, 9.0403 Å; angles 64.04, 90.00, 90.00 degrees
Fractional coordinates of all 13 atoms:
1 Mg 0.5000 0.1221 0.6262
2 Mg 0.5000 0.3738 0.8779
3 In 0.0000 0.7540 0.2460
4 Mg 0.0000 0.8663 0.8662
5 Mg 0.5000 0.8779 0.3738
6 Mg 0.0000 0.6098 0.6098
7 Mg 0.5000 0.6262 0.1221
8 In 0.5000 0.0000 0.0000
9 Sb 0.5000 0.2612 0.2613
10 Mg 0.0000 0.1337 0.1338
11 In 0.0000 0.2460 0.7540
12 Mg 0.0000 0.3902 0.3902
13 Sb 0.5000 0.7388 0.7387